Entry 1:
This record from Alexandria describes crystalline Na4Ac3HgO8 at its relaxed geometry. The functional is PBE-GGA.

Calculated values
* symmetry: C2/m, No. 12
* formation energy from raw total energies: -195.5 kJ per mole of atoms
* total magnetic moment: 1.05 Bohr magnetons per cell

abc: 7.3605 7.3605 6.9559
angles: 115.70 115.70 58.73
With the nearest neighbours (Å) after each atom.
Fractional positions:
Na1 0.0000 0.0000 0.0000  2 O 2.36
Na2 0.0000 0.5000 0.5000  4 O 2.54-2.62
Na3 0.5000 0.0000 0.5000  4 O 2.54-2.62
Na4 0.5000 0.5000 0.0000  4 O 2.50
Ac1 0.0000 0.0000 0.5000  6 O 2.50-2.55
Ac2 0.0000 0.5000 0.0000  6 O 2.46-2.59
Ac3 0.5000 0.0000 0.0000  6 O 2.46-2.59
Hg1 0.5000 0.5000 0.5000  4 O 2.27
O1 0.2125 0.2125 0.1991  3 Na 2.36-2.62, 2 Ac 2.46
O2 0.2238 0.2238 0.7299  3 Ac 2.50, 2 Na 2.54
O3 0.2566 0.7050 0.2550  1 Hg 2.27, 1 Na 2.50
O4 0.2950 0.7434 0.7450  1 Hg 2.27, 1 Na 2.50
O5 0.7050 0.2566 0.2550  1 Hg 2.27, 1 Na 2.50
O6 0.7434 0.2950 0.7450  1 Hg 2.27, 1 Na 2.50
O7 0.7762 0.7762 0.2701  3 Ac 2.50, 2 Na 2.54
O8 0.7875 0.7875 0.8009  3 Na 2.36-2.62, 2 Ac 2.46



Entry 2:
This record from Alexandria describes crystalline CaTlPb2Se4 at its relaxed geometry. The functional is PBE-GGA.

Calculated values
* symmetry: P2/m, No. 10
* formation energy from raw total energies: -79.2 kJ per mole of atoms
* total magnetic moment: 0.00 Bohr magnetons per cell

abc: 7.5178 4.3188 7.5466
angles: 90.00 109.56 90.00
With the nearest neighbours (Å) after each atom.
Fractional positions:
Ca1 0.0000 0.0000 0.0000  6 Se 3.01-3.03
Tl1 0.0000 0.5000 0.5000  6 Se 3.08-3.11
Pb1 0.5000 0.0000 0.5000  6 Se 3.12-3.13
Pb2 0.5000 0.5000 0.0000  6 Se 3.04-3.05
Se1 0.2430 0.5000 0.2384  2 Ca 3.01, 3 Pb 3.05-3.12, 1 Tl 3.11
Se2 0.2491 0.0000 0.7574  1 Ca 3.03, 3 Pb 3.04-3.13, 2 Tl 3.08
Se3 0.7509 0.0000 0.2426  1 Ca 3.03, 3 Pb 3.04-3.13, 2 Tl 3.08
Se4 0.7570 0.5000 0.7616  2 Ca 3.01, 3 Pb 3.05-3.12, 1 Tl 3.11



Entry 3:
This record from Alexandria describes crystalline ZrSb4Te at its relaxed geometry. The functional is PBE-GGA.

Calculated values
* symmetry: F-43m, No. 216
* formation energy from raw total energies: 30.8 kJ per mole of atoms
* total magnetic moment: 0.00 Bohr magnetons per cell

abc: 6.1654 6.1654 6.1654
angles: 60.00 60.00 60.00
With the nearest neighbours (Å) after each atom.
Fractional positions:
Zr1 0.0000 0.0000 0.0000  12 Sb 3.61, 4 Te 3.78
Sb1 0.1251 0.6250 0.6250  6 Sb 3.08
Sb2 0.6250 0.1251 0.6250  6 Sb 3.08
Sb3 0.6250 0.6250 0.1251  6 Sb 3.08
Sb4 0.6250 0.6250 0.6250  6 Sb 3.08
Te1 0.2500 0.2500 0.2500  12 Sb 3.61, 4 Zr 3.78



What did the third record say?
This record from Alexandria describes crystalline ZrSb4Te at its relaxed geometry. The functional is PBE-GGA.

Calculated values
* symmetry: F-43m, No. 216
* formation energy from raw total energies: 30.8 kJ per mole of atoms
* total magnetic moment: 0.00 Bohr magnetons per cell

abc: 6.1654 6.1654 6.1654
angles: 60.00 60.00 60.00
With the nearest neighbours (Å) after each atom.
Fractional positions:
Zr1 0.0000 0.0000 0.0000  12 Sb 3.61, 4 Te 3.78
Sb1 0.1251 0.6250 0.6250  6 Sb 3.08
Sb2 0.6250 0.1251 0.6250  6 Sb 3.08
Sb3 0.6250 0.6250 0.1251  6 Sb 3.08
Sb4 0.6250 0.6250 0.6250  6 Sb 3.08
Te1 0.2500 0.2500 0.2500  12 Sb 3.61, 4 Zr 3.78



Copy entry 2 word for word.
This record from Alexandria describes crystalline CaTlPb2Se4 at its relaxed geometry. The functional is PBE-GGA.

Calculated values
* symmetry: P2/m, No. 10
* formation energy from raw total energies: -79.2 kJ per mole of atoms
* total magnetic moment: 0.00 Bohr magnetons per cell

abc: 7.5178 4.3188 7.5466
angles: 90.00 109.56 90.00
With the nearest neighbours (Å) after each atom.
Fractional positions:
Ca1 0.0000 0.0000 0.0000  6 Se 3.01-3.03
Tl1 0.0000 0.5000 0.5000  6 Se 3.08-3.11
Pb1 0.5000 0.0000 0.5000  6 Se 3.12-3.13
Pb2 0.5000 0.5000 0.0000  6 Se 3.04-3.05
Se1 0.2430 0.5000 0.2384  2 Ca 3.01, 3 Pb 3.05-3.12, 1 Tl 3.11
Se2 0.2491 0.0000 0.7574  1 Ca 3.03, 3 Pb 3.04-3.13, 2 Tl 3.08
Se3 0.7509 0.0000 0.2426  1 Ca 3.03, 3 Pb 3.04-3.13, 2 Tl 3.08
Se4 0.7570 0.5000 0.7616  2 Ca 3.01, 3 Pb 3.05-3.12, 1 Tl 3.11



> What is the total magnetic moment in the second record?

0.00 Bohr magnetons per cell